This record from the Alexandria database describes a geometry-optimized AlCuSi structure. The functional is PBE-GGA.

Values from the calculation:
As for the space group: P-1 (2).

Cell lengths 3.7639, 4.5910, 5.6926 Å; angles 79.89, 81.84, 70.57 degrees
Closest atoms and distances in Å follow each position.
Sites, in units of the cell vectors:
Al1 0.3881 0.1282 0.5317  4 Si 2.56-2.72, 4 Cu 2.61-2.73
Al2 0.4860 0.7783 0.0174  4 Si 2.56-2.72, 4 Cu 2.61-2.73
Cu1 0.7887 0.2255 0.8365  3 Si 2.44-2.55, 2 Cu 2.56-2.63, 4 Al 2.61-2.73
Cu2 0.0855 0.6802 0.7127  3 Si 2.44-2.55, 2 Cu 2.56-2.63, 4 Al 2.61-2.73
Si1 0.1664 0.3404 0.1022  3 Cu 2.44-2.55, 1 Si 2.54, 4 Al 2.56-2.72
Si2 0.7077 0.5661 0.4469  3 Cu 2.44-2.55, 1 Si 2.54, 4 Al 2.56-2.72

This record from the Alexandria database describes a geometry-optimized Al4Cu2Si structure. The functional is PBE-GGA.

Values from the calculation:
As for the space group: P-3m1 (164).

Cell lengths 3.8832, 3.8832, 10.7596 Å; angles 90.00, 90.00, 120.00 degrees
Closest atoms and distances in Å follow each position.
Sites, in units of the cell vectors:
Cu1 0.6667 0.3333 0.8356  5 Al 2.42-2.60
Cu2 0.3333 0.6667 0.1644  5 Al 2.42-2.60
Al1 0.6667 0.3333 0.6108  1 Cu 2.42, 3 Si 2.54
Al2 0.3333 0.6667 0.3892  1 Cu 2.42, 3 Si 2.54
Al3 0.3333 0.6667 0.9230  4 Cu 2.43-2.60
Al4 0.6667 0.3333 0.0770  4 Cu 2.43-2.60
Si1 0.0000 0.0000 0.5000  6 Al 2.54

This record from the Alexandria database describes a geometry-optimized AlCuSi structure. The functional is PBE-GGA.

Values from the calculation:
As for the space group: P1 (1).

Cell lengths 5.5094, 3.9253, 4.9823 Å; angles 75.41, 109.74, 119.44 degrees
Closest atoms and distances in Å follow each position.
Sites, in units of the cell vectors:
Si1 0.6816 0.9618 0.8076  1 Si 2.44, 3 Cu 2.45-2.50, 3 Al 2.62-2.71
Si2 0.3281 0.1551 0.4543  1 Si 2.44, 3 Cu 2.46-2.50, 3 Al 2.60-2.70
Al1 0.0649 0.6180 0.0727  4 Cu 2.56-2.66, 4 Si 2.70-2.84
Al2 0.7668 0.8216 0.3688  4 Cu 2.58-2.77, 4 Si 2.60-2.63
Cu1 0.1127 0.4424 0.6347  4 Si 2.46-2.74, 3 Al 2.57-2.66, 1 Cu 2.60
Cu2 0.5045 0.2790 0.0256  3 Si 2.45-2.50, 3 Al 2.56-2.64, 1 Cu 2.60

This record from the Alexandria database describes a geometry-optimized AlCu2Si structure. The functional is PBE-GGA.

Values from the calculation:
As for the space group: P4mm (99).

Cell lengths 2.6920, 2.6920, 7.4166 Å; angles 90.00, 90.00, 89.96 degrees
Closest atoms and distances in Å follow each position.
Sites, in units of the cell vectors:
Al1 0.5000 0.5000 0.7700  4 Cu 2.58, 4 Al 2.69, 4 Si 2.88
Cu1 0.5000 0.5000 0.2468  4 Si 2.56, 8 Cu 2.61-2.69
Cu2 0.0000 0.0000 0.0052  4 Al 2.58, 8 Cu 2.61-2.69
Si1 0.0000 0.0000 0.4780  4 Cu 2.56, 4 Si 2.69

This record from the Alexandria database describes a geometry-optimized AlCuSi structure. The functional is PBE-GGA.

Values from the calculation:
As for the space group: P-6m2 (187).

Cell lengths 4.1601, 4.1601, 3.0218 Å; angles 90.00, 90.00, 120.00 degrees
Closest atoms and distances in Å follow each position.
Sites, in units of the cell vectors:
Si1 0.6667 0.3333 0.5000  6 Al 2.84, 6 Cu 2.84, 2 Si 3.02
Cu1 0.0000 0.0000 0.0000  3 Al 2.40
Al1 0.3333 0.6667 0.0000  3 Cu 2.40

This record from the Alexandria database describes a geometry-optimized AlCuSi2 structure. The functional is PBE-GGA.

Values from the calculation:
As for the space group: Pmm2 (25).

Cell lengths 2.7518, 3.6689, 5.6050 Å; angles 90.00, 90.00, 90.00 degrees
Closest atoms and distances in Å follow each position.
Sites, in units of the cell vectors:
Si1 0.5000 0.5000 0.2455  2 Cu 2.70-2.90, 6 Si 2.72-2.75, 4 Al 2.72
Si2 0.0000 0.0000 0.9855  4 Cu 2.61, 2 Al 2.69-2.92, 6 Si 2.72-2.75
Cu1 0.5000 0.5000 0.7629  6 Si 2.61-2.90, 4 Al 2.71, 2 Cu 2.75
Al1 0.0000 0.0000 0.5061  6 Si 2.69-2.92, 4 Cu 2.71, 2 Al 2.75

Number 1: formation energy from raw total energies 36.4 meV per atom. Number 2: formation energy from raw total energies 305.9 meV per atom. Number 3: formation energy from raw total energies 50.1 meV per atom. Number 4: formation energy from raw total energies 67.0 meV per atom. Number 5: formation energy from raw total energies 282.3 meV per atom. Number 6: formation energy from raw total energies 207.2 meV per atom.